This record from Alexandria describes an optimized crystal structure of Nd2Dy7Ho3. The functional is GGA-PBE.

a b c (Å): 19.101 19.101 3.608
angles (deg): 90.00 90.00 162.86
Element x y z (fractional)
Nd: 0.147 0.853 0.000
Nd: 0.853 0.147 0.000
Dy: 0.000 0.000 0.000
Dy: 0.071 0.929 0.500
Dy: 0.231 0.769 0.000
Dy: 0.411 0.589 0.000
Dy: 0.589 0.411 0.000
Dy: 0.769 0.231 0.000
Dy: 0.929 0.071 0.500
Ho: 0.314 0.686 0.500
Ho: 0.500 0.500 0.500
Ho: 0.686 0.314 0.500

Calculated values
- M_tot: 0.000 μB/cell
- ΔH_f (0 K): 113 meV/atom
- Polymorph energy (0 for the lowest one): 37 meV per atom